Sm4Ho10Sc: optimized geometry, GGA-PBE.

It has space group I4/mmm (No. 139), with a = 11.287 Å, b = 11.287 Å, c = 7.667 Å, α = 90.00°, β = 90.00° and γ = 90.00°. The asymmetric unit holds Sm at (0.231, 0.231, 0.000), Ho at (0.000, 0.208, 0.287), Ho at (0.000, 0.500, 0.250) and Sc at (0.000, 0.000, 0.000).

For the total energy, the calculation gives -4.48 eV per atom. As for the density of states at the Fermi level: 44.20 states/eV per cell. The calculated volume comes out at 32.56 A^3/atom. As for the energy of formation: 0.257 eV/atom.